No. 1
{
  "formula": "Y4Ni",
  "functional": "PBE",
  "state": "relaxed",
  "space_group": "No. 87",
  "e_above_lowest_polymorph_mev_per_atom": 77,
  "energy_ev_per_cell": -31.4,
  "lattice_angstrom": [[-3.523, 3.523, 2.809], [3.523, -3.523, 2.809], [3.523, 3.523, -2.809]],
  "species": ["Y", "Y", "Y", "Y", "Ni"],
  "frac_coords": [[0.153, 0.671, 0.824], [0.329, 0.153, 0.483], [0.671, 0.847, 0.517], [0.847, 0.329, 0.176], [0.500, 0.500, 0.000]]
}


No. 2
{
  "formula": "Y3Ni4",
  "functional": "PBE",
  "state": "relaxed",
  "space_group": "No. 63",
  "e_above_lowest_polymorph_mev_per_atom": 0,
  "energy_ev_per_cell": -90.9,
  "lattice_angstrom": [[2.041, -4.877, 0.000], [2.041, 4.877, 0.000], [0.000, 0.000, 13.021]],
  "species": ["Y", "Y", "Y", "Y", "Y", "Y", "Ni", "Ni", "Ni", "Ni", "Ni", "Ni", "Ni", "Ni"],
  "frac_coords": [[0.001, 0.999, 0.750], [0.285, 0.715, 0.602], [0.285, 0.715, 0.898], [0.715, 0.285, 0.102], [0.715, 0.285, 0.398], [0.999, 0.001, 0.250], [0.000, 0.000, 0.000], [0.000, 0.000, 0.500], [0.293, 0.707, 0.250], [0.428, 0.572, 0.087], [0.428, 0.572, 0.413], [0.572, 0.428, 0.587], [0.572, 0.428, 0.913], [0.707, 0.293, 0.750]]
}


No. 3
{
  "formula": "Y5Ni6",
  "functional": "PBE",
  "state": "relaxed",
  "space_group": "No. 65",
  "energy_ev_per_cell": -71.7,
  "lattice_angstrom": [[2.007, -13.878, 0.000], [2.007, 13.878, 0.000], [0.000, 0.000, 3.866]],
  "species": ["Y", "Y", "Y", "Y", "Y", "Ni", "Ni", "Ni", "Ni", "Ni", "Ni"],
  "frac_coords": [[0.000, 0.000, 0.000], [0.197, 0.803, 0.500], [0.386, 0.614, 0.000], [0.614, 0.386, 0.000], [0.803, 0.197, 0.500], [0.088, 0.912, 0.500], [0.276, 0.724, 0.000], [0.459, 0.541, 0.500], [0.541, 0.459, 0.500], [0.724, 0.276, 0.000], [0.912, 0.088, 0.500]]
}


No. 4
{
  "formula": "YNi4",
  "functional": "PBE",
  "state": "relaxed",
  "space_group": "No. 139",
  "energy_ev_per_cell": -30.5,
  "lattice_angstrom": [[-1.906, 1.906, 5.056], [1.906, -1.906, 5.056], [1.906, 1.906, -5.056]],
  "species": ["Y", "Ni", "Ni", "Ni", "Ni"],
  "frac_coords": [[0.000, 0.000, 0.000], [0.250, 0.750, 0.500], [0.389, 0.389, 0.000], [0.611, 0.611, 0.000], [0.750, 0.250, 0.500]]
}


No. 5
{
  "formula": "YNi5",
  "functional": "PBE",
  "state": "relaxed",
  "space_group": "No. 191",
  "energy_ev_per_cell": -36.3,
  "lattice_angstrom": [[4.021, 0.000, 0.000], [-2.011, 3.483, 0.000], [0.000, 0.000, 5.980]],
  "species": ["Y", "Ni", "Ni", "Ni", "Ni", "Ni"],
  "frac_coords": [[0.000, 0.000, 0.000], [0.000, 0.000, 0.500], [0.333, 0.667, 0.303], [0.333, 0.667, 0.697], [0.667, 0.333, 0.303], [0.667, 0.333, 0.697]]
}


No. 6
{
  "formula": "YNi",
  "functional": "PBE",
  "state": "relaxed",
  "space_group": "No. 164",
  "energy_ev_per_cell": -24.6,
  "lattice_angstrom": [[3.673, 0.000, 0.000], [-1.837, 3.181, 0.000], [0.000, 0.000, 7.748]],
  "species": ["Y", "Y", "Ni", "Ni"],
  "frac_coords": [[0.333, 0.667, 0.299], [0.667, 0.333, 0.701], [0.333, 0.667, 0.926], [0.667, 0.333, 0.074]]
}


In order of appearance, formation energy = 0.038, -0.420, -0.423, -0.174, -0.149, -0.023 eV/atom.